Entry from Alexandria: a crystal of Cs3LiSb relaxed with PBEsol (SCAN).

Cell and atoms, written as POSCAR:
```
Cs3LiSb
1.0
-3.329 -1.112 -5.305
1.194 -6.223 0.556
-5.287 -0.705 3.465
Li Sb Cs
1 1 3
direct
0.000 0.000 0.000
0.500 0.500 0.500
0.000 0.000 0.500
0.500 0.000 0.000
0.000 0.500 0.000
```

Properties
The total magnetization is 0.7 μB per formula unit. The value obtained for the uncorrected formation energy is 258 meV per atom.

=====

Entry from Alexandria: a crystal of KTlPb3 relaxed with PBEsol (SCAN).

Cell and atoms, written as POSCAR:
```
KTlPb3
1.0
-5.554 -0.732 1.656
1.802 -1.712 5.286
-0.177 5.537 1.854
K Pb Tl
1 3 1
direct
0.000 0.000 0.000
0.000 0.000 0.500
0.000 0.500 0.000
0.500 0.000 0.000
0.500 0.500 0.500
```

Properties
The total magnetization is 0.0 μB per formula unit. As for the formation energy: 778 meV per atom.

=====

Entry from Alexandria: a crystal of K2MgH8S2O12 relaxed with PBEsol (SCAN).

Cell and atoms, written as POSCAR:
```
K2MgH8S2O12
1.0
-0.108 6.321 -6.988
-9.737 -1.124 -0.866
-0.522 8.685 7.864
O H S K Mg
48 32 8 8 4
direct
0.373 0.115 0.844
0.527 0.375 0.685
0.127 0.115 0.344
0.911 0.607 0.145
0.508 0.903 0.820
0.990 0.060 0.172
0.661 0.360 0.964
0.027 0.625 0.815
0.339 0.640 0.036
0.490 0.940 0.328
0.341 0.360 0.953
0.841 0.640 0.547
0.279 0.010 0.504
0.868 0.120 0.350
0.659 0.640 0.047
0.492 0.790 0.513
0.089 0.393 0.855
0.992 0.903 0.320
0.161 0.640 0.536
0.589 0.607 0.645
0.510 0.060 0.672
0.157 0.546 0.181
0.159 0.360 0.453
0.721 0.990 0.496
0.632 0.120 0.850
0.779 0.990 0.996
0.973 0.375 0.185
0.839 0.360 0.464
0.473 0.625 0.315
0.992 0.210 0.987
0.487 0.434 0.165
0.132 0.880 0.650
0.008 0.097 0.680
0.221 0.010 0.004
0.411 0.393 0.355
0.513 0.566 0.835
0.657 0.454 0.319
0.508 0.210 0.487
0.368 0.880 0.150
0.873 0.885 0.656
0.627 0.885 0.156
0.010 0.940 0.828
0.008 0.790 0.013
0.492 0.097 0.180
0.843 0.454 0.819
0.987 0.566 0.335
0.343 0.546 0.681
0.013 0.434 0.665
0.638 0.270 0.918
0.783 0.953 0.555
0.364 0.269 0.910
0.862 0.270 0.418
0.986 0.276 0.058
0.281 0.963 0.059
0.479 0.268 0.425
0.014 0.724 0.942
0.219 0.963 0.559
0.249 0.390 0.418
0.138 0.730 0.582
0.781 0.037 0.441
0.021 0.268 0.925
0.362 0.730 0.082
0.217 0.047 0.445
0.719 0.037 0.941
0.864 0.731 0.590
0.751 0.610 0.582
0.761 0.398 0.418
0.717 0.953 0.055
0.636 0.731 0.090
0.979 0.732 0.075
0.521 0.732 0.575
0.749 0.610 0.082
0.136 0.269 0.410
0.486 0.724 0.442
0.514 0.276 0.558
0.239 0.602 0.582
0.261 0.602 0.082
0.251 0.390 0.918
0.739 0.398 0.918
0.283 0.047 0.945
0.494 0.522 0.710
0.506 0.047 0.796
0.994 0.047 0.296
0.506 0.478 0.290
0.494 0.953 0.204
0.006 0.953 0.704
0.994 0.478 0.790
0.006 0.522 0.210
0.755 0.745 0.336
0.269 0.764 0.837
0.231 0.764 0.337
0.245 0.255 0.664
0.745 0.745 0.836
0.731 0.236 0.163
0.769 0.236 0.663
0.255 0.255 0.164
0.500 0.000 0.500
0.000 0.000 0.000
0.500 0.500 0.000
0.000 0.500 0.500
```

Properties
The calculation puts the calculated total energy at -7.384 eV per atom. The total magnetization is 0.3 μB per formula unit.

=====

Entry from Alexandria: a crystal of Sb2AsIr relaxed with PBEsol (SCAN).

Cell and atoms, written as POSCAR:
```
Sb2AsIr
1.0
4.558 0.000 0.000
-2.279 4.416 -0.006
0.000 -2.347 3.907
Sb Ir As
2 1 1
direct
0.250 0.500 0.750
0.750 0.500 0.250
0.000 0.000 0.000
0.500 0.000 0.500
```

Properties
The calculation puts the polymorph energy (0 for the lowest one) at 0.4728 eV per atom. The total magnetization is 0.0 μB per formula unit. The value obtained for the uncorrected formation energy is 497 meV per atom.